VASP calculation (GGA-PBE) on crystalline LaMo2N6 at its relaxed geometry.

Unit cell a=9.9483 b=9.9483 c=9.9483 alpha=90.00 beta=90.00 gamma=90.00
Closest atoms and distances in Å follow each position.
Space group Fd-3m (No. 227, origin choice 2)
Asymmetric unit:
La (0.1250, 0.1250, 0.1250) (multiplicity 8)  6 N 2.77
Mo (0.0000, 0.0000, 0.5000) (multiplicity 16)  6 N 2.00
N (0.0966, 0.3750, 0.8750) (multiplicity 48)  2 Mo 2.00

As for the crystal system: cubic. The raw formation energy is 0.49 eV/atom.


VASP calculation (GGA-PBE) on crystalline Li4CaTe at its relaxed geometry.

Unit cell a=8.2052 b=8.2052 c=8.2052 alpha=90.00 beta=90.00 gamma=90.00
Closest atoms and distances in Å follow each position.
Space group F-43m (No. 216)
Asymmetric unit:
Li (0.1245, 0.1245, 0.1245) (multiplicity 16)  6 Li 2.89-2.91
Ca (0.0000, 0.0000, 0.5000) (multiplicity 4)  12 Li 3.40, 4 Te 3.55
Te (0.2500, 0.2500, 0.7500) (multiplicity 4)  12 Li 3.40, 4 Ca 3.55

As for the crystal system: cubic. The raw formation energy is -0.24 eV/atom.


VASP calculation (GGA-PBE) on crystalline Na2SmTmTe4 at its relaxed geometry.

Unit cell a=7.6977 b=4.4452 c=7.9912 alpha=90.00 beta=108.72 gamma=90.00
Closest atoms and distances in Å follow each position.
Space group P2/m (No. 10)
Asymmetric unit:
Na (0.0000, 0.0000, 0.0000) (multiplicity 1)  6 Te 3.30
Na (0.5000, 0.5000, 0.0000) (multiplicity 1)  6 Te 3.24
Sm (0.0000, 0.5000, 0.5000) (multiplicity 1)  6 Te 3.14-3.15
Tm (0.5000, 0.0000, 0.5000) (multiplicity 1)  6 Te 3.08
Te (0.2516, 0.0000, 0.7346) (multiplicity 2)  1 Tm 3.08, 2 Sm 3.14, 3 Na 3.24-3.30
Te (0.2631, 0.5000, 0.2691) (multiplicity 2)  2 Tm 3.08, 1 Sm 3.15, 3 Na 3.24-3.30

As for the crystal system: monoclinic. The raw formation energy is -1.31 eV/atom.


VASP calculation (GGA-PBE) on crystalline Ac4SnPb at its relaxed geometry.

Unit cell a=9.7617 b=5.6509 c=9.8117 alpha=90.00 beta=109.26 gamma=90.00
Closest atoms and distances in Å follow each position.
Space group C2/m (No. 12)
Asymmetric unit:
Ac (0.1234, 0.0000, 0.3706) (multiplicity 4)  1 Sn 3.43, 3 Pb 3.47
Ac (0.1258, 0.5000, 0.8779) (multiplicity 4)  3 Sn 3.45, 1 Pb 3.50
Sn (0.0000, 0.0000, 0.0000) (multiplicity 2)  8 Ac 3.43-3.45
Pb (0.0000, 0.5000, 0.5000) (multiplicity 2)  8 Ac 3.47-3.50

As for the crystal system: monoclinic. The calculation puts the energy relative to the lowest polymorph listed for this composition at 9.98 kJ per mole of atoms. For the energy relative to the elements, the calculation gives -0.313 eV per atom.